[1]
VASP calculation (GGA-PBE) on a relaxed SiNi2 crystal.

Output
Magnetic moment in μB per cell: 0.000
Formation energy (no corrections) in eV per atom: -0.552

Lattice parameters (Å, degrees): 4.990 3.733 7.090 90.00 90.00 90.00
Space group Pnma (No. 62)
Symmetry-distinct sites (fractional):
Si: 0.211 0.250 0.114
Ni: 0.040 0.250 0.794
Ni: 0.171 0.250 0.439


[2]
VASP calculation (GGA-PBE) on a relaxed SiNi3 crystal.

Output
Magnetic moment in μB per cell: 0.000
Formation energy (no corrections) in eV per atom: -0.227

Lattice parameters (Å, degrees): 7.7821 7.7821 2.5217 90.00 90.00 120.00
Space group R-3m (No. 166, hexagonal axes)
Symmetry-distinct sites (fractional):
Si: 0.0000 0.0000 0.0000
Ni: 0.0000 0.5000 0.0000


[3]
VASP calculation (GGA-PBE) on a relaxed SiNi2 crystal.

Output
Magnetic moment in μB per cell: 0.000
Formation energy (no corrections) in eV per atom: -0.457

Lattice parameters (Å, degrees): 3.360 10.847 3.618 90.00 90.00 90.00
Space group Cmcm (No. 63)
Symmetry-distinct sites (fractional):
Si: 0.000 0.100 0.250
Ni: 0.000 0.254 0.750
Ni: 0.000 0.426 0.250